Record 1
Here is crystalline SiRhW at its relaxed geometry from Alexandria via LeMat-Bulk. Energies are from PBE. Values from VASP.

Cell and atoms, written as Quantum ESPRESSO input:
```
&SYSTEM
  ibrav = 0, nat = 3, ntyp = 3
/
ATOMIC_SPECIES
Si 28.09 Si.upf
Rh 102.91 Rh.upf
W 183.84 W.upf
CELL_PARAMETERS angstrom
-1.404 1.505 4.981
1.404 -1.505 4.981
1.404 1.505 -4.981
ATOMIC_POSITIONS crystal
Si 0.000 0.000 0.000
Rh 0.360 0.360 0.000
W 0.663 0.663 0.000
```

Output
Crystal system = orthorhombic
Energy relative to the elements, uncorrected = -0.82 eV/f.u.

***

Record 2
Here is crystalline Si2RhW at its relaxed geometry from Alexandria via LeMat-Bulk. Energies are from PBE. Values from VASP.

Cell and atoms, written as Quantum ESPRESSO input:
```
&SYSTEM
  ibrav = 0, nat = 4, ntyp = 3
/
ATOMIC_SPECIES
Si 28.09 Si.upf
Rh 102.91 Rh.upf
W 183.84 W.upf
CELL_PARAMETERS angstrom
0.000 3.067 3.067
3.067 0.000 3.067
3.067 3.067 0.000
ATOMIC_POSITIONS crystal
Si 0.000 0.000 0.000
Si 0.250 0.250 0.250
Rh 0.500 0.500 0.500
W 0.750 0.750 0.750
```

Output
Crystal system = cubic
Energy relative to the elements, uncorrected = 0.76 eV/f.u.

***

Record 3
Here is crystalline Si2RhW at its relaxed geometry from Alexandria via LeMat-Bulk. Energies are from PBE. Values from VASP.

Cell and atoms, written as Quantum ESPRESSO input:
```
&SYSTEM
  ibrav = 0, nat = 4, ntyp = 3
/
ATOMIC_SPECIES
Si 28.09 Si.upf
Rh 102.91 Rh.upf
W 183.84 W.upf
CELL_PARAMETERS angstrom
2.799 0.000 0.000
0.000 4.568 0.000
0.000 0.000 4.390
ATOMIC_POSITIONS crystal
Si 0.000 0.000 0.000
Si 0.500 0.500 0.208
Rh 0.500 0.000 0.480
W 0.000 0.500 0.711
```

Output
Crystal system = orthorhombic
Energy relative to the elements, uncorrected = -1.10 eV/f.u.

***

| no. | uncorrected energy (eV per cell) | relative energy among the computed polymorphs (meV per atom) |
| --- | --- | --- |
| 1 | -26.6 | 9 |
| 2 | -30.4 | 553 |
| 3 | -32.3 | 88 |